(1)
Below is TlRh4Cl after structural relaxation, with properties calculated at the PBE level.

```
data_TlRh4Cl
_cell_length_a 5.3047
_cell_length_b 5.3047
_cell_length_c 5.3047
_cell_angle_alpha 60.00
_cell_angle_beta 60.00
_cell_angle_gamma 60.00
_space_group_name_H-M_alt 'P 1'
_space_group_IT_number 1
_space_group_name_Hall 'P 1'
loop_
_atom_site_label
_atom_site_type_symbol
_atom_site_fract_x
_atom_site_fract_y
_atom_site_fract_z
_atom_site_occupancy
Tl1 Tl 0.0000 0.0000 0.0000 1
Rh1 Rh 0.3751 0.3751 0.3751 1
Rh2 Rh 0.3751 0.3751 0.8747 1
Rh3 Rh 0.3751 0.8747 0.3751 1
Rh4 Rh 0.8747 0.3751 0.3751 1
Cl1 Cl 0.7500 0.7500 0.7500 1
```

Results
total DFT energy (no corrections)	-4.992	eV/atom
space-group type	F-43m (216)
volume	17.59	Å³ per atom
DOS at the Fermi energy	2.300	states/eV per atom
magnetization	2.08	μB per cell
formation energy without anion corrections	58.97	kJ/mol of atoms



(2)
Below is TlRh2Cl after structural relaxation, with properties calculated at the PBE level.

```
data_TlRh2Cl
_cell_length_a 6.5640
_cell_length_b 6.5640
_cell_length_c 6.5640
_cell_angle_alpha 90.00
_cell_angle_beta 90.00
_cell_angle_gamma 90.00
_space_group_name_H-M_alt 'P 1'
_space_group_IT_number 1
_space_group_name_Hall 'P 1'
loop_
_atom_site_label
_atom_site_type_symbol
_atom_site_fract_x
_atom_site_fract_y
_atom_site_fract_z
_atom_site_occupancy
Tl1 Tl 0.0000 0.0000 0.0000 1
Tl2 Tl 0.0000 0.5000 0.5000 1
Tl3 Tl 0.5000 0.0000 0.5000 1
Tl4 Tl 0.5000 0.5000 0.0000 1
Rh1 Rh 0.2500 0.2500 0.2500 1
Rh2 Rh 0.2500 0.2500 0.7500 1
Rh3 Rh 0.2500 0.7500 0.2500 1
Rh4 Rh 0.2500 0.7500 0.7500 1
Rh5 Rh 0.7500 0.2500 0.2500 1
Rh6 Rh 0.7500 0.2500 0.7500 1
Rh7 Rh 0.7500 0.7500 0.2500 1
Rh8 Rh 0.7500 0.7500 0.7500 1
Cl1 Cl 0.0000 0.0000 0.5000 1
Cl2 Cl 0.0000 0.5000 0.0000 1
Cl3 Cl 0.5000 0.0000 0.0000 1
Cl4 Cl 0.5000 0.5000 0.5000 1
```

Results
total DFT energy (no corrections)	-4.222	eV/atom
space-group type	Fm-3m (225)
excess energy over the best structure of this formula in the dataset	1.48	eV per formula unit
volume	17.68	Å³ per atom
DOS at the Fermi energy	1.237	states/eV per atom
magnetization	6.37	μB per cell
formation energy without anion corrections	48.90	kJ/mol of atoms



(3)
Below is TlRh2Cl after structural relaxation, with properties calculated at the PBE level.

```
data_TlRh2Cl
_cell_length_a 3.1858
_cell_length_b 3.1858
_cell_length_c 24.0107
_cell_angle_alpha 90.00
_cell_angle_beta 90.00
_cell_angle_gamma 120.00
_space_group_name_H-M_alt 'P 1'
_space_group_IT_number 1
_space_group_name_Hall 'P 1'
loop_
_atom_site_label
_atom_site_type_symbol
_atom_site_fract_x
_atom_site_fract_y
_atom_site_fract_z
_atom_site_occupancy
Tl1 Tl 0.0000 0.0000 0.0000 1
Tl2 Tl 0.3333 0.6667 0.6667 1
Tl3 Tl 0.6667 0.3333 0.3333 1
Rh1 Rh 0.0000 0.0000 0.2461 1
Rh2 Rh 0.0000 0.0000 0.7539 1
Rh3 Rh 0.3333 0.6667 0.4205 1
Rh4 Rh 0.3333 0.6667 0.9128 1
Rh5 Rh 0.6667 0.3333 0.0872 1
Rh6 Rh 0.6667 0.3333 0.5795 1
Cl1 Cl 0.0000 0.0000 0.5000 1
Cl2 Cl 0.3333 0.6667 0.1667 1
Cl3 Cl 0.6667 0.3333 0.8333 1
```

Results
total DFT energy (no corrections)	-4.424	eV/atom
space-group type	R-3m (166)
excess energy over the best structure of this formula in the dataset	0.67	eV per formula unit
volume	17.59	Å³ per atom
DOS at the Fermi energy	1.310	states/eV per atom
magnetization	1.29	μB per cell
formation energy without anion corrections	29.40	kJ/mol of atoms



(4)
Below is Tl4RhCl2 after structural relaxation, with properties calculated at the PBE level.

```
data_Tl4RhCl2
_cell_length_a 5.2780
_cell_length_b 5.2780
_cell_length_c 16.5336
_cell_angle_alpha 90.00
_cell_angle_beta 90.00
_cell_angle_gamma 90.00
_space_group_name_H-M_alt 'P 1'
_space_group_IT_number 1
_space_group_name_Hall 'P 1'
loop_
_atom_site_label
_atom_site_type_symbol
_atom_site_fract_x
_atom_site_fract_y
_atom_site_fract_z
_atom_site_occupancy
Tl1 Tl 0.0000 0.0000 0.1674 1
Tl2 Tl 0.0000 0.0000 0.8326 1
Tl3 Tl 0.0000 0.5000 0.0000 1
Tl4 Tl 0.0000 0.5000 0.5000 1
Tl5 Tl 0.5000 0.0000 0.0000 1
Tl6 Tl 0.5000 0.0000 0.5000 1
Tl7 Tl 0.5000 0.5000 0.3326 1
Tl8 Tl 0.5000 0.5000 0.6674 1
Rh1 Rh 0.0000 0.0000 0.0000 1
Rh2 Rh 0.5000 0.5000 0.5000 1
Cl1 Cl 0.0000 0.0000 0.3575 1
Cl2 Cl 0.0000 0.0000 0.6425 1
Cl3 Cl 0.5000 0.5000 0.1425 1
Cl4 Cl 0.5000 0.5000 0.8575 1
```

Results
total DFT energy (no corrections)	-3.377	eV/atom
space-group type	I4/mmm (139)
volume	32.90	Å³ per atom
DOS at the Fermi energy	0.286	states/eV per atom
magnetization	0.00	μB per cell
formation energy without anion corrections	-43.18	kJ/mol of atoms



(5)
Below is Tl2Rh2Cl after structural relaxation, with properties calculated at the PBE level.

```
data_Tl2Rh2Cl
_cell_length_a 7.7186
_cell_length_b 7.7186
_cell_length_c 3.3340
_cell_angle_alpha 90.00
_cell_angle_beta 90.00
_cell_angle_gamma 90.00
_space_group_name_H-M_alt 'P 1'
_space_group_IT_number 1
_space_group_name_Hall 'P 1'
loop_
_atom_site_label
_atom_site_type_symbol
_atom_site_fract_x
_atom_site_fract_y
_atom_site_fract_z
_atom_site_occupancy
Tl1 Tl 0.1675 0.3325 0.0000 1
Tl2 Tl 0.3325 0.8325 0.0000 1
Tl3 Tl 0.6675 0.1675 0.0000 1
Tl4 Tl 0.8325 0.6675 0.0000 1
Rh1 Rh 0.1311 0.6311 0.5000 1
Rh2 Rh 0.3689 0.1311 0.5000 1
Rh3 Rh 0.6311 0.8689 0.5000 1
Rh4 Rh 0.8689 0.3689 0.5000 1
Cl1 Cl 0.0000 0.0000 0.5000 1
Cl2 Cl 0.5000 0.5000 0.5000 1
```

Results
total DFT energy (no corrections)	-4.168	eV/atom
space-group type	P4/mbm (127)
excess energy over the best structure of this formula in the dataset	0.00	eV per formula unit
volume	19.86	Å³ per atom
DOS at the Fermi energy	0.424	states/eV per atom
magnetization	0.00	μB per cell
formation energy without anion corrections	8.53	kJ/mol of atoms



(6)
Below is TlRh2Cl after structural relaxation, with properties calculated at the PBE level.

```
data_TlRh2Cl
_cell_length_a 3.0647
_cell_length_b 3.8611
_cell_length_c 6.7507
_cell_angle_alpha 90.00
_cell_angle_beta 90.00
_cell_angle_gamma 90.00
_space_group_name_H-M_alt 'P 1'
_space_group_IT_number 1
_space_group_name_Hall 'P 1'
loop_
_atom_site_label
_atom_site_type_symbol
_atom_site_fract_x
_atom_site_fract_y
_atom_site_fract_z
_atom_site_occupancy
Tl1 Tl 0.0000 0.0000 0.0000 1
Rh1 Rh 0.5000 0.5000 0.2048 1
Rh2 Rh 0.5000 0.5000 0.7952 1
Cl1 Cl 0.0000 0.5000 0.5000 1
```

Results
total DFT energy (no corrections)	-4.533	eV/atom
space-group type	Pmmm (47)
excess energy over the best structure of this formula in the dataset	0.23	eV per formula unit
volume	19.97	Å³ per atom
DOS at the Fermi energy	0.915	states/eV per atom
magnetization	0.00	μB per cell
formation energy without anion corrections	18.89	kJ/mol of atoms